Density functional theory data (PBE) for a relaxed NaCaCd2 crystal.

Energy of formation from the pure elements = -0.192 eV per atom
Symmetry = No. 123
E_tot = -1.4800 eV per atom

a = 3.800 Å, b = 3.800 Å, c = 7.544 Å
α = 90.00°, β = 90.00°, γ = 90.00°
Fractional coordinates of all 4 atoms:
1 Na 0.000 0.000 0.000
2 Ca 0.000 0.000 0.500
3 Cd 0.500 0.500 0.238
4 Cd 0.500 0.500 0.762